[1]
A relaxed structure of Sm12YHo7. Source: Alexandria, functional PBE.

```
20
Lattice="6.039 0.000 -1.243 -3.152 9.789 -5.121 0.266 0.000 11.486" Properties=species:S:1:pos:R:3 pbc="T T T"
Sm -1.282 5.741 -1.122
Sm 0.135 1.695 5.744
Sm 1.514 6.330 -4.043
Sm 2.580 0.000 3.547
Sm 1.874 4.046 3.998
Sm -1.514 6.330 4.043
Sm 4.666 3.459 1.078
Sm 1.278 5.743 1.124
Sm 0.572 9.789 1.575
Sm 1.638 3.459 9.164
Sm 3.017 8.094 -0.622
Sm 4.435 4.048 6.243
Y 0.000 0.000 0.000
Ho -1.612 7.392 -4.024
Ho 5.337 0.001 1.729
Ho 1.613 7.390 4.026
Ho 3.019 0.000 -0.621
Ho 1.539 2.399 1.096
Ho -2.184 9.788 3.393
Ho 4.765 2.397 9.145
```

Results
For the total energy, the calculation gives -4.50 eV per atom. The offset from the most stable computed form is 0.000 eV per atom. The energy of formation comes out at 257 meV/atom. Its space group is R-3m (166).

=====

[2]
A relaxed structure of PmDy2Er9. Source: Alexandria, functional PBE.

```
12
Lattice="-4.124 2.790 -0.196 -1.447 -1.828 4.404 7.182 11.106 6.970" Properties=species:S:1:pos:R:3 pbc="T T T"
Pm 0.000 0.000 0.000
Dy 2.398 3.709 2.328
Dy 4.783 7.397 4.642
Er -2.785 0.481 2.104
Er -0.383 4.195 4.435
Er 1.994 7.872 6.743
Er -0.854 3.264 1.075
Er 1.529 6.948 3.387
Er 3.911 10.632 5.699
Er 0.485 0.955 3.375
Er 2.868 4.639 5.687
Er 5.250 8.323 7.999
```

Results
For the total energy, the calculation gives -4.56 eV per atom. The offset from the most stable computed form is 0.000 eV per atom. The energy of formation comes out at 23 meV/atom. Its space group is P4/mmm (123).

=====

[3]
A relaxed structure of BeAgMo2. Source: Alexandria, functional PBE.

```
4
Lattice="-1.428 -0.488 2.224 2.202 -1.518 0.272 3.860 6.290 3.857" Properties=species:S:1:pos:R:3 pbc="T T T"
Be 3.296 3.738 4.155
Mo 3.751 6.112 3.748
Mo 1.319 0.516 2.179
Ag 2.058 3.353 2.056
```

Results
For the total energy, the calculation gives -6.84 eV per atom. The energy of formation comes out at 220 meV/atom. Its space group is Cmm2 (35).

=====

[4]
A relaxed structure of RbP2Pt4Au. Source: Alexandria, functional PBE.

```
8
Lattice="4.030 0.000 0.000 0.000 4.030 0.000 0.000 0.000 10.539" Properties=species:S:1:pos:R:3 pbc="T T T"
Rb 0.000 0.000 5.270
P 2.015 2.015 3.120
P 2.015 2.015 7.419
Pt 0.000 2.015 1.973
Pt 2.015 0.000 8.566
Pt 2.015 0.000 1.973
Pt 0.000 2.015 8.566
Au 0.000 0.000 0.000
```

Results
For the total energy, the calculation gives -5.26 eV per atom. The energy of formation comes out at -353 meV/atom. Its space group is P4/mmm (123).

=====

[5]
A relaxed structure of V2GaRh4. Source: Alexandria, functional PBE.

```
7
Lattice="-4.047 1.886 -0.512 -0.930 -0.823 4.319 -0.147 5.972 3.445" Properties=species:S:1:pos:R:3 pbc="T T T"
Rh -1.090 3.781 2.824
Rh -4.034 3.254 4.428
Rh -0.465 -0.412 2.159
Rh -2.023 0.943 -0.256
Ga 0.000 0.000 0.000
V -1.903 1.891 2.289
V -3.221 5.144 4.963
```

Results
For the total energy, the calculation gives -6.71 eV per atom. The energy of formation comes out at 531 meV/atom. Its space group is I4/mmm (139).

=====

[6]
A relaxed structure of GaCo3Sn. Source: Alexandria, functional PBE.

```
5
Lattice="4.322 0.000 0.000 0.000 4.322 0.000 0.000 0.000 4.322" Properties=species:S:1:pos:R:3 pbc="T T T"
Co 0.000 2.161 0.000
Co 0.000 0.000 2.161
Co 2.161 0.000 0.000
Sn 2.161 2.161 2.161
Ga 0.000 0.000 0.000
```

Results
For the total energy, the calculation gives -4.96 eV per atom. The offset from the most stable computed form is 0.000 eV per atom. The energy of formation comes out at 713 meV/atom. Its space group is Pm-3m (221).

=====

[7]
A relaxed structure of DyHf2Cu9. Source: Alexandria, functional PBE.

```
12
Lattice="-2.646 2.242 3.677 -2.545 -2.801 3.351 4.790 -0.366 7.143" Properties=species:S:1:pos:R:3 pbc="T T T"
Dy 0.000 0.000 0.000
Hf -2.270 -0.639 9.179
Hf 1.869 -0.286 4.993
Cu 1.316 -0.739 11.819
Cu -1.717 -0.187 2.352
Cu -0.200 -0.463 7.086
Cu -0.933 -0.325 4.729
Cu -2.263 0.802 6.577
Cu -2.212 -1.732 6.413
Cu 0.532 -0.600 9.443
Cu 1.811 0.807 7.759
Cu 1.862 -1.727 7.595
```

Results
For the total energy, the calculation gives -5.26 eV per atom. The energy of formation comes out at -143 meV/atom. Its space group is R-3m (166).

=====

[8]
A relaxed structure of TaAgPbS4. Source: Alexandria, functional PBE.

```
14
Lattice="-2.182 -2.586 -5.128 2.582 -7.158 2.511 -6.078 -0.476 4.893" Properties=species:S:1:pos:R:3 pbc="T T T"
Ta -0.388 -6.118 2.139
Ta -5.290 -4.103 0.137
Ag -1.816 -7.433 -0.142
Ag -3.861 -2.788 2.418
Pb -5.424 -7.928 2.155
Pb -0.254 -2.292 0.120
S -3.306 -3.779 4.800
S -1.205 -9.677 -1.389
S -2.372 -6.441 -2.524
S -4.473 -0.543 3.665
S 0.684 -6.426 0.157
S -6.362 -3.794 2.118
S -2.536 -6.873 2.195
S -3.141 -3.348 0.080
```

Results
The calculation puts the formation energy from raw total energies at -551 meV/atom. For the total energy, the calculation gives -5.54 eV per atom. Its space group is P2_1/m (11).